This record from Alexandria describes Ho6Zn2Sn after structural relaxation. The functional is PBE.

```
Ho6Zn2Sn
1.0
-4.735 4.799 5.319
4.735 -4.799 5.319
4.735 4.799 -5.319
Ho Zn Sn
12 4 2
Direct
0.031 0.233 0.798
0.189 0.283 0.472
0.189 0.717 0.906
0.317 0.019 0.702
0.317 0.615 0.298
0.436 0.233 0.202
0.564 0.767 0.798
0.683 0.385 0.702
0.683 0.981 0.298
0.811 0.283 0.094
0.811 0.717 0.528
0.969 0.767 0.202
0.119 0.619 0.500
0.357 0.000 0.357
0.643 0.000 0.643
0.881 0.381 0.500
0.000 0.000 0.000
0.500 0.500 0.000
```

Summary:
VASP energy ... -4.09 eV/atom
Space group ... No. 71
Crystal system ... orthorhombic

---

This record from Alexandria describes MgBeRh4 after structural relaxation. The functional is PBE.

```
MgBeRh4
1.0
0.000 3.601 3.601
3.601 0.000 3.601
3.601 3.601 0.000
Mg Be Rh
1 1 4
Direct
0.000 0.000 0.000
0.250 0.250 0.250
0.126 0.625 0.625
0.625 0.126 0.625
0.625 0.625 0.126
0.625 0.625 0.625
```

Summary:
VASP energy ... -5.66 eV/atom
Space group ... No. 216
Crystal system ... cubic

---

The records above yield energy of formation from the pure elements values of -312.1; 129.0 meV per atom, respectively.